Entry 1:
4
Lattice="-1.044 -0.170 -2.445 -1.086 -2.287 -0.828 -9.065 1.925 2.287" Properties=species:S:1:pos:R:3 comment="Li2AlTc (GGA-PBEsol, optimized geometry)" ef_mev_per_atom=150 vol_a3_per_cell=57.9 space_group="R-3m, No. 166" dos_at_fermi_per_ev_cell=1.6 pbc="T T T"
Al 0.000 0.000 0.000
Tc -5.598 -0.266 -0.493
Li -2.870 -0.110 -0.218
Li -8.325 -0.423 -0.768

Entry 2:
12
Lattice="6.020 0.000 0.000 0.000 6.031 0.000 0.000 0.000 6.030" Properties=species:S:1:pos:R:3 comment="SbIrS (GGA-PBEsol, optimized geometry)" total_energy_ev_per_cell=-81.49 vol_a3_per_cell=218.9 space_group="Pca2_1, No. 29" pbc="T T T"
Sb 2.204 3.746 2.302
Sb 3.816 2.284 5.317
Sb 2.204 5.300 5.317
Sb 3.816 0.731 2.302
Ir 1.391 2.937 6.022
Ir 4.628 3.094 3.007
Ir 1.391 0.078 3.007
Ir 4.628 5.952 6.022
S 5.263 5.317 3.750
S 0.756 0.714 0.735
S 5.263 3.729 0.735
S 0.756 2.301 3.750

Entry 3:
4
Lattice="4.340 0.000 0.000 0.000 4.418 0.020 0.000 -1.368 4.202" Properties=species:S:1:pos:R:3 comment="TcTe2P (GGA-PBEsol, optimized geometry)" total_energy_ev_per_cell=-23.80 vol_a3_per_cell=80.7 space_group="Amm2, No. 38" dos_at_fermi_per_ev_cell=1.9 pbc="T T T"
P 0.000 1.179 2.365
Tc 2.170 0.351 2.959
Te 0.000 -1.022 3.950
Te 2.170 2.699 1.261

Entry 4:
5
Lattice="-3.303 3.166 -0.712 -0.816 -1.964 -4.951 -3.687 -3.406 1.959" Properties=species:S:1:pos:R:3 comment="YHfSb2Ru (GGA-PBEsol, optimized geometry)" total_energy_ev_per_cell=-34.85 vol_a3_per_cell=134.4 space_group="P4/mmm, No. 123" dos_at_fermi_per_ev_cell=5.0 pbc="T T T"
Y -3.903 -1.103 -1.852
Sb -1.844 -1.703 0.980
Sb -0.408 -0.982 -2.476
Hf 0.000 0.000 0.000
Ru -1.651 1.583 -0.356